(1)
DFT (SCAN) results for a PBEsol-optimized structure of NbNCl3.

a = 4.833 Å, b = 4.833 Å, c = 4.833 Å
α = 90.00°, β = 90.00°, γ = 90.00°
Space group Pm-3m (No. 221)
Symmetry-distinct sites (fractional):
Nb 0.000 0.000 0.000 [1 per cell]
N 0.500 0.500 0.500 [1 per cell]
Cl 0.000 0.000 0.500 [3 per cell]

Values from the calculation:
DFT total energy ... -13.269 eV per atom
Raw formation energy ... 0.002 eV per atom

***

(2)
DFT (SCAN) results for a PBEsol-optimized structure of CsIF2.

a = 4.8628 Å, b = 4.8628 Å, c = 18.7944 Å
α = 90.00°, β = 90.00°, γ = 120.00°
Space group R-3m (No. 166, hexagonal axes)
Symmetry-distinct sites (fractional):
Cs 0.0000 0.0000 0.0000 [3 per cell]
I 0.0000 0.0000 0.5000 [3 per cell]
F 0.0000 0.0000 0.3881 [6 per cell]

Values from the calculation:
DFT total energy ... -22.395 eV per atom
Raw formation energy ... -1.987 eV per atom